Below is a relaxed structure of LaGeIr3, with properties calculated at the PBEsol level.

Structure (CIF):
```
data_LaGeIr3
_symmetry_space_group_name_H-M 'P 1'
_symmetry_Int_Tables_number 1
_cell_length_a 4.8803
_cell_length_b 4.8803
_cell_length_c 4.8803
_cell_angle_alpha 90.00
_cell_angle_beta 90.00
_cell_angle_gamma 90.00
loop_
_symmetry_equiv_pos_as_xyz
'x,y,z'
loop_
_atom_site_label
_atom_site_type_symbol
_atom_site_fract_x
_atom_site_fract_y
_atom_site_fract_z
La1 La 0.0000 0.0000 0.0000
Ge1 Ge 0.5000 0.5000 0.5000
Ir1 Ir 0.0000 0.0000 0.5000
Ir2 Ir 0.0000 0.5000 0.0000
Ir3 Ir 0.5000 0.0000 0.0000
```

Space-group type: Pm-3m, No. 221
DOS(E_F), states/eV/cell: 4.3
Calculated formation energy, eV/atom: 2.069
Volume, Å³ per cell: 116